(1)
Here is an optimized crystal structure of RbScSe2 from Alexandria. Energies are from PBE.

a b c (Å): 8.3027 8.3027 16.3683
angles (deg): 97.28 97.28 90.00
Closest atoms and distances in Å follow each position.
Fractional positions:
Rb (0.1529, 0.7789, 0.6154)  6 Se 3.52-3.63
Rb (0.2211, 0.8471, 0.8846)  6 Se 3.52-3.63
Rb (0.2217, 0.3454, 0.8863)  6 Se 3.50-3.67
Rb (0.3454, 0.2217, 0.3863)  6 Se 3.50-3.67
Rb (0.6546, 0.7783, 0.6137)  6 Se 3.50-3.67
Rb (0.7783, 0.6546, 0.1137)  6 Se 3.50-3.67
Rb (0.7789, 0.1529, 0.1154)  6 Se 3.52-3.63
Rb (0.8471, 0.2211, 0.3846)  6 Se 3.52-3.63
Sc (0.0887, 0.7105, 0.3426)  4 Se 2.57-2.58
Sc (0.2895, 0.4173, 0.1573)  4 Se 2.58
Sc (0.2895, 0.9113, 0.1574)  4 Se 2.57-2.58
Sc (0.4173, 0.2895, 0.6573)  4 Se 2.58
Sc (0.5827, 0.7105, 0.3427)  4 Se 2.58
Sc (0.7105, 0.0887, 0.8426)  4 Se 2.57-2.58
Sc (0.7105, 0.5827, 0.8427)  4 Se 2.58
Sc (0.9113, 0.2895, 0.6574)  4 Se 2.57-2.58
Se (0.0597, 0.4346, 0.2499)  2 Sc 2.58
Se (0.0597, 0.9403, 0.2500)  2 Sc 2.58
Se (0.1409, 0.2663, 0.5647)  2 Sc 2.58
Se (0.2654, 0.6404, 0.0607)  2 Sc 2.57-2.58
Se (0.2663, 0.1409, 0.0647)  2 Sc 2.58
Se (0.3596, 0.7346, 0.4393)  2 Sc 2.57-2.58
Se (0.4346, 0.0597, 0.7499)  2 Sc 2.58
Se (0.4346, 0.5654, 0.7500)  2 Sc 2.58
Se (0.5654, 0.4346, 0.2500)  2 Sc 2.58
Se (0.5654, 0.9403, 0.2501)  2 Sc 2.58
Se (0.6404, 0.2654, 0.5607)  2 Sc 2.57-2.58
Se (0.7337, 0.8591, 0.9353)  2 Sc 2.58
Se (0.7346, 0.3596, 0.9393)  2 Sc 2.57-2.58
Se (0.8591, 0.7337, 0.4353)  2 Sc 2.58
Se (0.9403, 0.0597, 0.7500)  2 Sc 2.58
Se (0.9403, 0.5654, 0.7501)  2 Sc 2.58

Magnetization   0.000 Bohr magnetons per cell
ΔE_f (raw)   -1512 meV/atom
Crystal system   monoclinic
Symmetry   C2/c, No. 15
Fermi-level density of states   0.0 states/eV/cell

---

(2)
Here is an optimized crystal structure of TlP2PdO from Alexandria. Energies are from PBE.

a b c (Å): 4.8893 4.8893 3.9145
angles (deg): 90.00 90.00 90.00
Closest atoms and distances in Å follow each position.
Fractional positions:
Tl (0.0000, 0.0000, 0.0000)  8 P 3.13, 4 O 3.46
P (0.0000, 0.5000, 0.5000)  2 Pd 2.44
P (0.5000, 0.0000, 0.5000)  2 Pd 2.44
Pd (0.5000, 0.5000, 0.5000)  2 O 1.96
O (0.5000, 0.5000, 0.0000)  2 Pd 1.96

Energy above the lowest structure with this stoichiometry   0 meV per atom
Magnetization   0.000 Bohr magnetons per cell
ΔE_f (raw)   428 meV/atom
Crystal system   tetragonal
Symmetry   P4/mmm, No. 123
Fermi-level density of states   7.3 states/eV/cell

---

(3)
Here is an optimized crystal structure of Cs3PaSn2O9 from Alexandria. Energies are from PBE.

a b c (Å): 6.1240 6.1240 7.5210
angles (deg): 90.00 90.00 120.00
Closest atoms and distances in Å follow each position.
Fractional positions:
Cs (0.0000, 0.0000, 0.0000)  12 O 3.06
Cs (0.3333, 0.6667, 0.6707)  12 O 3.04-3.10
Cs (0.6667, 0.3333, 0.3293)  12 O 3.04-3.10
Pa (0.0000, 0.0000, 0.5000)  6 O 2.20
Sn (0.3333, 0.6667, 0.1678)  6 O 2.13-2.17
Sn (0.6667, 0.3333, 0.8322)  6 O 2.13-2.17
O (0.0000, 0.5000, 0.0000)  2 Sn 2.17
O (0.1686, 0.3373, 0.3296)  1 Sn 2.13, 1 Pa 2.20
O (0.1686, 0.8314, 0.3296)  1 Sn 2.13, 1 Pa 2.20
O (0.3373, 0.1686, 0.6704)  1 Sn 2.13, 1 Pa 2.20
O (0.5000, 0.0000, 0.0000)  2 Sn 2.17
O (0.5000, 0.5000, 0.0000)  2 Sn 2.17
O (0.6627, 0.8314, 0.3296)  1 Sn 2.13, 1 Pa 2.20
O (0.8314, 0.1686, 0.6704)  1 Sn 2.13, 1 Pa 2.20
O (0.8314, 0.6627, 0.6704)  1 Sn 2.13, 1 Pa 2.20

Magnetization   2.081 Bohr magnetons per cell
ΔE_f (raw)   -1797 meV/atom
Crystal system   trigonal
Symmetry   P-3m1, No. 164
Fermi-level density of states   11.2 states/eV/cell

---

(4)
Here is an optimized crystal structure of SrCdCl2 from Alexandria. Energies are from PBE.

a b c (Å): 17.8252 3.8810 4.3911
angles (deg): 90.00 104.16 90.00
Closest atoms and distances in Å follow each position.
Fractional positions:
Sr (0.0000, 0.0000, 0.0000)  6 Cl 2.79-3.05
Sr (0.5000, 0.5000, 0.0000)  6 Cl 2.79-3.05
Cd (0.2694, 0.0000, 0.7712)  6 Cl 3.83-3.96, 2 Cd 3.88
Cd (0.7694, 0.5000, 0.7712)  6 Cl 3.83-3.96, 2 Cd 3.88
Cl (0.1160, 0.5000, 0.1154)  2 Sr 2.79
Cl (0.4508, 0.0000, 0.4512)  4 Sr 3.05
Cl (0.6160, 0.0000, 0.1154)  2 Sr 2.79
Cl (0.9508, 0.5000, 0.4512)  4 Sr 3.05

Energy above the lowest structure with this stoichiometry   126 meV per atom
Magnetization   0.000 Bohr magnetons per cell
ΔE_f (raw)   -1542 meV/atom
Crystal system   monoclinic
Symmetry   Cm, No. 8
Fermi-level density of states   0.0 states/eV/cell

---

(5)
Here is an optimized crystal structure of MgSiOs from Alexandria. Energies are from PBE.

a b c (Å): 4.1084 4.1084 3.2188
angles (deg): 90.00 90.00 120.00
Closest atoms and distances in Å follow each position.
Fractional positions:
Mg (0.0000, 0.0000, 0.0000)  6 Os 2.87, 6 Si 2.87
Si (0.3333, 0.6667, 0.5000)  3 Os 2.37
Os (0.6667, 0.3333, 0.5000)  3 Si 2.37

Magnetization   0.000 Bohr magnetons per cell
ΔE_f (raw)   -187 meV/atom
Crystal system   hexagonal
Symmetry   P-6m2, No. 187
Fermi-level density of states   1.0 states/eV/cell

---

(6)
Here is an optimized crystal structure of HoScRe from Alexandria. Energies are from PBE.

a b c (Å): 3.3627 3.3627 11.9268
angles (deg): 90.00 90.00 90.00
Closest atoms and distances in Å follow each position.
Fractional positions:
Ho (0.0000, 0.0000, 0.0000)  4 Re 2.93, 1 Sc 3.17
Ho (0.5000, 0.5000, 0.5000)  4 Re 2.93, 1 Sc 3.17
Sc (0.0000, 0.0000, 0.2657)  4 Re 2.79
Sc (0.5000, 0.5000, 0.7657)  4 Re 2.79
Re (0.0000, 0.0000, 0.6438)  4 Sc 2.79, 4 Ho 2.93
Re (0.5000, 0.5000, 0.1438)  4 Sc 2.79, 4 Ho 2.93

Energy above the lowest structure with this stoichiometry   0 meV per atom
Magnetization   0.000 Bohr magnetons per cell
Crystal system   tetragonal
Symmetry   I4mm, No. 107
Fermi-level density of states   6.7 states/eV/cell
E_form   0.0295 eV per atom

---

(7)
Here is an optimized crystal structure of Ac2ErGe from Alexandria. Energies are from PBE.

a b c (Å): 5.1531 5.1531 4.8105
angles (deg): 90.00 90.00 90.00
Closest atoms and distances in Å follow each position.
Fractional positions:
Ac (0.0000, 0.5000, 0.0000)  4 Ge 3.52, 4 Er 3.52, 4 Ac 3.64
Ac (0.5000, 0.0000, 0.0000)  4 Ge 3.52, 4 Er 3.52, 4 Ac 3.64
Er (0.0000, 0.0000, 0.5000)  8 Ac 3.52, 4 Ge 3.64
Ge (0.5000, 0.5000, 0.5000)  8 Ac 3.52, 4 Er 3.64

Energy above the lowest structure with this stoichiometry   0 meV per atom
Magnetization   0.000 Bohr magnetons per cell
Crystal system   tetragonal
Symmetry   P4/mmm, No. 123
Fermi-level density of states   4.6 states/eV/cell
E_form   -0.1750 eV per atom

---

(8)
Here is an optimized crystal structure of LiLaPrSe3 from Alexandria. Energies are from PBE.

a b c (Å): 8.7780 4.1199 9.0328
angles (deg): 90.00 102.14 90.00
Closest atoms and distances in Å follow each position.
Fractional positions:
Li (0.0861, 0.2500, 0.0850)  4 Se 2.53-2.54, 2 Li 2.81
Li (0.9139, 0.7500, 0.9150)  4 Se 2.53-2.54, 2 Li 2.81
La (0.1794, 0.2500, 0.7212)  7 Se 3.03-3.18
La (0.8206, 0.7500, 0.2788)  7 Se 3.03-3.18
Pr (0.3388, 0.7500, 0.3351)  6 Se 2.98-3.05
Pr (0.6612, 0.2500, 0.6649)  6 Se 2.98-3.05
Se (0.0936, 0.2500, 0.3672)  1 Li 2.54
Se (0.2085, 0.7500, 0.9944)  3 Li 2.53-2.54
Se (0.4194, 0.7500, 0.6775)  3 Pr 2.98-3.02, 2 La 3.03
Se (0.5806, 0.2500, 0.3225)  3 Pr 2.98-3.02, 2 La 3.03
Se (0.7915, 0.2500, 0.0056)  3 Li 2.53-2.54
Se (0.9064, 0.7500, 0.6328)  1 Li 2.54

Magnetization   0.000 Bohr magnetons per cell
ΔE_f (raw)   -1744 meV/atom
Crystal system   monoclinic
Symmetry   P2_1/m, No. 11
Fermi-level density of states   4.8 states/eV/cell

---

(9)
Here is an optimized crystal structure of Ac5Hg2Os2 from Alexandria. Energies are from PBE.

a b c (Å): 9.5179 9.5179 8.2249
angles (deg): 90.00 90.00 50.91
Closest atoms and distances in Å follow each position.
Fractional positions:
Ac (0.0000, 0.0000, 0.0000)  4 Os 3.32, 8 Ac 3.67-3.68
Ac (0.0574, 0.6989, 0.6787)  3 Os 3.21-3.23, 3 Hg 3.44-3.45
Ac (0.1989, 0.5574, 0.1787)  3 Os 3.21-3.23, 3 Hg 3.44-3.45
Ac (0.3011, 0.9426, 0.6787)  3 Os 3.21-3.23, 3 Hg 3.44-3.45
Ac (0.4426, 0.8011, 0.1787)  3 Os 3.21-3.23, 3 Hg 3.44-3.45
Ac (0.5000, 0.5000, 0.5000)  4 Os 3.32, 8 Ac 3.67-3.68
Ac (0.5574, 0.1989, 0.8213)  3 Os 3.21-3.23, 3 Hg 3.44-3.45
Ac (0.6989, 0.0574, 0.3213)  3 Os 3.21-3.23, 3 Hg 3.44-3.45
Ac (0.8011, 0.4426, 0.8213)  3 Os 3.21-3.23, 3 Hg 3.44-3.45
Ac (0.9426, 0.3011, 0.3213)  3 Os 3.21-3.23, 3 Hg 3.44-3.45
Hg (0.2188, 0.2188, 0.0000)  7 Ac 3.44-3.76
Hg (0.2812, 0.2812, 0.5000)  7 Ac 3.44-3.76
Hg (0.7188, 0.7188, 0.5000)  7 Ac 3.44-3.76
Hg (0.7812, 0.7812, 0.0000)  7 Ac 3.44-3.76
Os (0.1103, 0.8897, 0.3880)  1 Os 2.58
Os (0.3897, 0.6103, 0.8880)  1 Os 2.58
Os (0.6103, 0.3897, 0.1120)  1 Os 2.58
Os (0.8897, 0.1103, 0.6120)  1 Os 2.58

Magnetization   0.000 Bohr magnetons per cell
Crystal system   orthorhombic
Symmetry   Cmce, No. 64
Fermi-level density of states   16.2 states/eV/cell
E_form   -0.1983 eV per atom

---

(10)
Here is an optimized crystal structure of Ta3CoOs from Alexandria. Energies are from PBE.

a b c (Å): 4.7977 4.7977 4.7977
angles (deg): 90.00 90.00 90.00
Closest atoms and distances in Å follow each position.
Fractional positions:
Ta (0.0000, 0.0000, 0.5000)  2 Os 2.40
Ta (0.0000, 0.5000, 0.0000)  2 Os 2.40
Ta (0.5000, 0.0000, 0.0000)  2 Os 2.40
Co (0.5000, 0.5000, 0.5000)  12 Ta 3.39
Os (0.0000, 0.0000, 0.0000)  6 Ta 2.40

Energy above the lowest structure with this stoichiometry   663 meV per atom
Magnetization   0.000 Bohr magnetons per cell
Crystal system   cubic
Symmetry   Pm-3m, No. 221
Fermi-level density of states   7.2 states/eV/cell
E_form   1.5488 eV per atom

---

(11)
Here is an optimized crystal structure of Mg2PaTaO8 from Alexandria. Energies are from PBE.

a b c (Å): 4.7820 4.7820 6.6555
angles (deg): 90.00 90.00 90.64
Closest atoms and distances in Å follow each position.
Fractional positions:
Mg (0.0000, 0.0000, 0.2398)  6 O 2.08-2.17
Mg (0.0000, 0.0000, 0.7602)  6 O 2.08-2.17
Pa (0.5000, 0.5000, 0.5000)  6 O 2.05-2.25
Ta (0.5000, 0.5000, 0.0000)  6 O 1.99-2.00
O (0.1954, 0.1954, 0.5000)  1 Pa 2.05, 2 Mg 2.17
O (0.2042, 0.2042, 0.0000)  1 Ta 1.99, 2 Mg 2.11
O (0.3062, 0.6938, 0.2262)  1 Ta 2.00, 1 Mg 2.08
O (0.3062, 0.6938, 0.7738)  1 Ta 2.00, 1 Mg 2.08
O (0.6938, 0.3062, 0.2262)  1 Ta 2.00, 1 Mg 2.08
O (0.6938, 0.3062, 0.7738)  1 Ta 2.00, 1 Mg 2.08
O (0.7958, 0.7958, 0.0000)  1 Ta 1.99, 2 Mg 2.11
O (0.8046, 0.8046, 0.5000)  1 Pa 2.05, 2 Mg 2.17

Magnetization   1.735 Bohr magnetons per cell
ΔE_f (raw)   -2626 meV/atom
Crystal system   orthorhombic
Symmetry   Cmmm, No. 65
Fermi-level density of states   6.6 states/eV/cell

---

(12)
Here is an optimized crystal structure of LuMgZnHg from Alexandria. Energies are from PBE.

a b c (Å): 6.9329 6.9329 6.9329
angles (deg): 90.00 90.00 90.00
Closest atoms and distances in Å follow each position.
Fractional positions:
Lu (0.0000, 0.0000, 0.0000)  4 Hg 3.00, 4 Zn 3.00
Lu (0.0000, 0.5000, 0.5000)  4 Hg 3.00, 4 Zn 3.00
Lu (0.5000, 0.0000, 0.5000)  4 Hg 3.00, 4 Zn 3.00
Lu (0.5000, 0.5000, 0.0000)  4 Hg 3.00, 4 Zn 3.00
Mg (0.0000, 0.0000, 0.5000)  4 Zn 3.00, 4 Hg 3.00
Mg (0.0000, 0.5000, 0.0000)  4 Zn 3.00, 4 Hg 3.00
Mg (0.5000, 0.0000, 0.0000)  4 Zn 3.00, 4 Hg 3.00
Mg (0.5000, 0.5000, 0.5000)  4 Zn 3.00, 4 Hg 3.00
Zn (0.2500, 0.2500, 0.2500)  4 Lu 3.00, 4 Mg 3.00
Zn (0.2500, 0.7500, 0.7500)  4 Lu 3.00, 4 Mg 3.00
Zn (0.7500, 0.2500, 0.7500)  4 Lu 3.00, 4 Mg 3.00
Zn (0.7500, 0.7500, 0.2500)  4 Lu 3.00, 4 Mg 3.00
Hg (0.2500, 0.2500, 0.7500)  4 Mg 3.00, 4 Lu 3.00
Hg (0.2500, 0.7500, 0.2500)  4 Mg 3.00, 4 Lu 3.00
Hg (0.7500, 0.2500, 0.2500)  4 Mg 3.00, 4 Lu 3.00
Hg (0.7500, 0.7500, 0.7500)  4 Mg 3.00, 4 Lu 3.00

Magnetization   0.000 Bohr magnetons per cell
Crystal system   cubic
Symmetry   F-43m, No. 216
Fermi-level density of states   4.5 states/eV/cell
E_form   -0.3505 eV per atom